# 1
DFT (PBE-GGA) results for La3InIr after structural relaxation.

The structure in POSCAR format:
```
La3InIr
1.0
0.0000 7.2907 7.2907
7.2907 0.0000 7.2907
7.2907 7.2907 0.0000
La In Ir
12 4 4
Direct
0.0846 0.0846 0.6654 La
0.0846 0.6654 0.0846 La
0.0846 0.6654 0.6654 La
0.3346 0.3346 0.9154 La
0.3346 0.9154 0.3346 La
0.3346 0.9154 0.9154 La
0.6654 0.0846 0.0846 La
0.6654 0.0846 0.6654 La
0.6654 0.6654 0.0846 La
0.9154 0.3346 0.3346 La
0.9154 0.3346 0.9154 La
0.9154 0.9154 0.3346 La
0.0000 0.5000 0.5000 In
0.5000 0.0000 0.5000 In
0.5000 0.5000 0.0000 In
0.5000 0.5000 0.5000 In
0.0000 0.0000 0.0000 Ir
0.0000 0.0000 0.5000 Ir
0.0000 0.5000 0.0000 Ir
0.5000 0.0000 0.0000 Ir
```

Properties
energy above the most stable polymorph in this dataset: 237.5 meV/atom
symmetry: No. 227
DFT total energy: -5.596 eV per atom
formation energy from the elements: -320 meV per atom



# 2
DFT (PBE-GGA) results for La6InIr3 after structural relaxation.

The structure in POSCAR format:
```
La6InIr3
1.0
12.2276 0.0000 0.0000
0.0000 4.2435 0.0000
-3.8477 0.0000 11.9791
La In Ir
12 2 6
Direct
0.0271 0.2500 0.3905 La
0.1086 0.2500 0.9478 La
0.2052 0.7500 0.2578 La
0.2882 0.7500 0.7627 La
0.3513 0.2500 0.5319 La
0.4217 0.7500 0.0828 La
0.5783 0.2500 0.9172 La
0.6487 0.7500 0.4681 La
0.7118 0.2500 0.2373 La
0.7948 0.2500 0.7422 La
0.8914 0.7500 0.0522 La
0.9729 0.7500 0.6095 La
0.4481 0.2500 0.3034 In
0.5519 0.7500 0.6966 In
0.0440 0.2500 0.1629 Ir
0.1801 0.7500 0.4945 Ir
0.3420 0.2500 0.9177 Ir
0.6580 0.7500 0.0823 Ir
0.8199 0.2500 0.5055 Ir
0.9560 0.7500 0.8371 Ir
```

Properties
symmetry: No. 11
DFT total energy: -6.518 eV per atom
formation energy from the elements: -629 meV per atom



# 3
DFT (PBE-GGA) results for La3InIr after structural relaxation.

The structure in POSCAR format:
```
La3InIr
1.0
5.6995 -1.9507 0.0000
5.6995 1.9507 0.0000
-1.7707 0.0000 13.6762
La In Ir
6 2 2
Direct
0.1232 0.1232 0.4266 La
0.1644 0.1644 0.7268 La
0.3741 0.3741 0.0507 La
0.6259 0.6259 0.9493 La
0.8356 0.8356 0.2732 La
0.8768 0.8768 0.5734 La
0.1054 0.1054 0.1550 In
0.8946 0.8946 0.8450 In
0.3955 0.3955 0.4233 Ir
0.6045 0.6045 0.5767 Ir
```

Properties
energy above the most stable polymorph in this dataset: 52.7 meV/atom
symmetry: No. 12
DFT total energy: -5.781 eV per atom
formation energy from the elements: -505 meV per atom